1.
KLiZn | GGA-PBEsol | optimized geometry

Properties
N(E_F) in states/eV per cell: 1.25
Crystal system: hexagonal
Calculated formation energy in eV per atom: 0.218
E_tot in eV per atom: -1.3428

Cell lengths 4.6932, 4.6932, 4.9447 Å; angles 90.00, 90.00, 120.00 degrees
Last column: nearest neighbours and their distance in Å.
Atoms (fractional coordinates):
K (0.0000, 0.0000, 0.0000)  6 Li 3.67, 6 Zn 3.67
Li (0.3333, 0.6667, 0.5000)  3 Zn 2.71
Zn (0.6667, 0.3333, 0.5000)  3 Li 2.71

=====

2.
KLiZn2 | GGA-PBEsol | optimized geometry

Properties
N(E_F) in states/eV per cell: 1.80
Crystal system: orthorhombic
Relative energy among the computed polymorphs in meV per atom: 0
Calculated formation energy in eV per atom: 0.128
E_tot in eV per atom: -1.4378

Cell lengths 3.1643, 3.5893, 8.2765 Å; angles 90.00, 90.00, 90.00 degrees
Last column: nearest neighbours and their distance in Å.
Atoms (fractional coordinates):
Zn (0.0000, 0.0000, 0.0300)  4 Zn 2.63, 4 Li 2.85
Zn (0.5000, 0.5000, 0.1628)  4 Zn 2.63, 1 Li 2.65
Li (0.5000, 0.5000, 0.8432)  5 Zn 2.65-2.85
K (0.0000, 0.0000, 0.4640)  2 K 3.16, 4 Zn 3.46

=====

3.
KLi3Zn | GGA-PBEsol | optimized geometry

Properties
N(E_F) in states/eV per cell: 2.84
Crystal system: cubic
Calculated formation energy in eV per atom: 0.125
E_tot in eV per atom: -1.5977

Cell lengths 5.1788, 5.1788, 5.1788 Å; angles 90.00, 90.00, 90.00 degrees
Last column: nearest neighbours and their distance in Å.
Atoms (fractional coordinates):
K (0.5000, 0.5000, 0.5000)  12 Li 3.66
Li (0.0000, 0.0000, 0.5000)  2 Zn 2.59
Li (0.5000, 0.0000, 0.0000)  2 Zn 2.59
Li (0.0000, 0.5000, 0.0000)  2 Zn 2.59
Zn (0.0000, 0.0000, 0.0000)  6 Li 2.59

=====

4.
K2LiZr | GGA-PBEsol | optimized geometry

Properties
N(E_F) in states/eV per cell: 4.32
Crystal system: trigonal
Relative energy among the computed polymorphs in meV per atom: 30
Calculated formation energy in eV per atom: 0.641
E_tot in eV per atom: -2.6893

Cell lengths 3.3754, 3.3754, 13.3815 Å; angles 82.75, 82.75, 60.00 degrees
Last column: nearest neighbours and their distance in Å.
Atoms (fractional coordinates):
Li (0.0000, 0.0000, 0.0000)  6 Li 3.38
K (0.2499, 0.2499, 0.2504)  6 K 3.38
K (0.7501, 0.7501, 0.7496)  6 K 3.38
Zr (0.5000, 0.5000, 0.5000)  6 Zr 3.38

=====

5.
K2LiZr | GGA-PBEsol | optimized geometry

Properties
N(E_F) in states/eV per cell: 7.82
Crystal system: cubic
Relative energy among the computed polymorphs in meV per atom: 492
Calculated formation energy in eV per atom: 1.103
E_tot in eV per atom: -2.2276

Cell lengths 6.1042, 6.1042, 6.1042 Å; angles 60.00, 60.00, 60.00 degrees
Last column: nearest neighbours and their distance in Å.
Atoms (fractional coordinates):
Li (0.0000, 0.0000, 0.0000)  8 K 3.74
K (0.2500, 0.2500, 0.2500)  4 Li 3.74, 4 Zr 3.74
K (0.7500, 0.7500, 0.7500)  4 Li 3.74, 4 Zr 3.74
Zr (0.5000, 0.5000, 0.5000)  8 K 3.74

=====

6.
KLiZr3 | GGA-PBEsol | optimized geometry

Properties
N(E_F) in states/eV per cell: 7.63
Crystal system: cubic
Calculated formation energy in eV per atom: 1.895
E_tot in eV per atom: -4.1787

Cell lengths 4.8859, 4.8859, 4.8859 Å; angles 90.00, 90.00, 90.00 degrees
Last column: nearest neighbours and their distance in Å.
Atoms (fractional coordinates):
Zr (0.5000, 0.0000, 0.0000)  2 K 2.44
Zr (0.0000, 0.0000, 0.5000)  2 K 2.44
Zr (0.0000, 0.5000, 0.0000)  2 K 2.44
Li (0.5000, 0.5000, 0.5000)  12 Zr 3.45
K (0.0000, 0.0000, 0.0000)  6 Zr 2.44

=====

- Which of these has the lowest calculated formation energy?
  KLi3Zn